Entry 1:
DFT (SCAN) results for Ba2YBiOs at its PBEsol-relaxed geometry.

Computed properties:
Calculated total energy   -50.997 eV/atom
Total magnetic moment   0.000 μB per atom
V   186.1 Å³/cell
SG   P4/mmm
Calculated formation energy   0.48 eV per atom
Fermi-level density of states   5.53 states/eV/cell

abc: 5.9718 5.9718 5.2193
angles: 90.00 90.00 90.00
Last column: nearest neighbours and their distance in Å.
Atoms (fractional coordinates):
Ba 0.0000 0.5000 0.0000  2 Os 2.99
Ba 0.5000 0.0000 0.0000  2 Os 2.99
Y 0.0000 0.0000 0.5000  8 Ba 3.97, 4 Bi 4.22
Bi 0.5000 0.5000 0.5000  2 Os 2.61
Os 0.5000 0.5000 0.0000  2 Bi 2.61

Entry 2:
DFT (SCAN) results for V3NiO8 at its PBEsol-relaxed geometry.

Computed properties:
Calculated total energy   -12.195 eV/atom
Formation energy (no corrections)   -53.5 kcal/mol of atoms
Total magnetic moment   0.250 μB per atom
V   131.4 Å³/cell
SG   Cm
Fermi-level density of states   3.20 states/eV/cell

abc: 6.1424 6.1424 6.3194
angles: 106.10 106.10 35.17
Last column: nearest neighbours and their distance in Å.
Atoms (fractional coordinates):
V 0.0000 0.0000 0.0000  4 O 1.71-1.90
V 0.1046 0.1046 0.5843  4 O 1.70-1.89
V 0.3058 0.3058 0.0209  2 O 1.63-1.78
Ni 0.4092 0.4092 0.6011  5 O 1.89-1.96
O 0.0600 0.0600 0.2816  2 V 1.71-1.83
O 0.1465 0.1465 0.9354  2 V 1.78-1.88
O 0.2558 0.2558 0.6510  1 V 1.70
O 0.3415 0.3415 0.2907  1 V 1.63
O 0.4678 0.4678 0.9565  3 V 1.90-2.05
O 0.5750 0.5750 0.5895  2 V 1.89, 1 Ni 1.96
O 0.8326 0.8326 0.9808  3 V 1.91-1.93
O 0.9469 0.9469 0.6543  2 Ni 1.91, 2 V 2.02-2.09

Entry 3:
DFT (SCAN) results for ErAgSn at its PBEsol-relaxed geometry.

Computed properties:
Calculated total energy   -39.848 eV/atom
Total magnetic moment   0.000 μB per atom
V   199.2 Å³/cell
SG   P-62m
Calculated formation energy   -0.64 eV per atom
Fermi-level density of states   0.93 states/eV/cell

abc: 7.2199 7.2199 4.4135
angles: 90.00 90.00 120.00
Last column: nearest neighbours and their distance in Å.
Atoms (fractional coordinates):
Er 0.0000 0.5689 0.0000  5 Sn 3.08-3.11, 2 Ag 3.21
Er 0.4311 0.4311 0.0000  5 Sn 3.08-3.11, 2 Ag 3.21
Er 0.5689 0.0000 0.0000  5 Sn 3.08-3.11, 2 Ag 3.21
Ag 0.0000 0.2452 0.5000  4 Sn 2.78-2.83, 2 Ag 3.07
Ag 0.2452 0.0000 0.5000  4 Sn 2.78-2.83, 2 Ag 3.07
Ag 0.7548 0.7548 0.5000  4 Sn 2.78-2.83, 2 Ag 3.07
Sn 0.0000 0.0000 0.0000  6 Ag 2.83, 3 Er 3.11
Sn 0.3333 0.6667 0.5000  3 Ag 2.78, 6 Er 3.08
Sn 0.6667 0.3333 0.5000  3 Ag 2.78, 6 Er 3.08

Entry 4:
DFT (SCAN) results for Cs2Y2Sc at its PBEsol-relaxed geometry.

Computed properties:
Calculated total energy   -28.189 eV/atom
Total magnetic moment   0.082 μB per atom
V   251.2 Å³/cell
SG   I4/mmm
Calculated formation energy   0.92 eV per atom
Fermi-level density of states   5.25 states/eV/cell

abc: 13.7008 13.7008 13.7008
angles: 161.79 161.79 25.87
Last column: nearest neighbours and their distance in Å.
Atoms (fractional coordinates):
Cs 0.1098 0.1098 0.0000  4 Sc 4.24, 4 Y 4.33, 4 Cs 4.34
Cs 0.8902 0.8902 0.0000  4 Sc 4.24, 4 Y 4.33, 4 Cs 4.34
Y 0.2500 0.7500 0.5000  4 Y 3.07
Y 0.7500 0.2500 0.5000  4 Y 3.07
Sc 0.5000 0.5000 0.0000  8 Cs 4.24, 4 Sc 4.34

Entry 5:
DFT (SCAN) results for Mn2AsBr at its PBEsol-relaxed geometry.

Computed properties:
Calculated total energy   -19.154 eV/atom
Formation energy (no corrections)   -2.6 kcal/mol of atoms
Total magnetic moment   1.880 μB per atom
V   65.3 Å³/cell
SG   P4/mmm
Fermi-level density of states   2.64 states/eV/cell
Distance to the lowest polymorph of the same formula   0.3667 eV/atom

abc: 3.1654 3.1654 6.5163
angles: 90.00 90.00 90.00
Last column: nearest neighbours and their distance in Å.
Atoms (fractional coordinates):
Mn 0.0000 0.0000 0.2028  4 As 2.60, 1 Mn 2.64
Mn 0.0000 0.0000 0.7972  4 As 2.60, 1 Mn 2.64
As 0.5000 0.5000 0.0000  8 Mn 2.60
Br 0.5000 0.5000 0.5000  8 Mn 2.96, 4 Br 3.17, 2 As 3.26

Entry 6:
DFT (SCAN) results for Zr2Rh at its PBEsol-relaxed geometry.

Computed properties:
Calculated total energy   -32.377 eV/atom
Total magnetic moment   0.000 μB per atom
V   463.9 Å³/cell
SG   Fd-3m
Calculated formation energy   -0.65 eV per atom
Fermi-level density of states   23.40 states/eV/cell

abc: 8.6891 8.6891 8.6891
angles: 60.00 60.00 60.00
Last column: nearest neighbours and their distance in Å.
Atoms (fractional coordinates):
Zr 0.0000 0.0000 0.0000  6 Rh 2.76
Zr 0.0000 0.0000 0.5000  6 Rh 2.76
Zr 0.0000 0.5000 0.0000  6 Rh 2.76
Zr 0.1882 0.1882 0.5618  2 Rh 2.72
Zr 0.1882 0.5618 0.1882  2 Rh 2.72
Zr 0.1882 0.5618 0.5618  2 Rh 2.72
Zr 0.4382 0.4382 0.8118  2 Rh 2.72
Zr 0.4382 0.8118 0.4382  2 Rh 2.72
Zr 0.4382 0.8118 0.8118  2 Rh 2.72
Zr 0.5000 0.0000 0.0000  6 Rh 2.76
Zr 0.5618 0.1882 0.1882  2 Rh 2.72
Zr 0.5618 0.1882 0.5618  2 Rh 2.72
Zr 0.5618 0.5618 0.1882  2 Rh 2.72
Zr 0.8118 0.4382 0.4382  2 Rh 2.72
Zr 0.8118 0.4382 0.8118  2 Rh 2.72
Zr 0.8118 0.8118 0.4382  2 Rh 2.72
Rh 0.1612 0.7796 0.7796  6 Zr 2.72-2.76
Rh 0.2204 0.2204 0.2204  6 Zr 2.72-2.76
Rh 0.2204 0.2204 0.8388  6 Zr 2.72-2.76
Rh 0.2204 0.8388 0.2204  6 Zr 2.72-2.76
Rh 0.7796 0.1612 0.7796  6 Zr 2.72-2.76
Rh 0.7796 0.7796 0.1612  6 Zr 2.72-2.76
Rh 0.7796 0.7796 0.7796  6 Zr 2.72-2.76
Rh 0.8388 0.2204 0.2204  6 Zr 2.72-2.76

Entry 7:
DFT (SCAN) results for LiCr2PtRh at its PBEsol-relaxed geometry.

Computed properties:
Calculated total energy   -27.850 eV/atom
Total magnetic moment   1.413 μB per atom
V   110.1 Å³/cell
SG   P4/mmm
Calculated formation energy   0.78 eV per atom
Fermi-level density of states   5.77 states/eV/cell

abc: 4.7746 4.7746 4.8293
angles: 90.00 90.00 90.00
Last column: nearest neighbours and their distance in Å.
Atoms (fractional coordinates):
Li 0.0000 0.0000 0.0000  4 Rh 3.38, 8 Cr 3.40
Cr 0.0000 0.5000 0.5000  2 Pt 2.39
Cr 0.5000 0.0000 0.5000  2 Pt 2.39
Pt 0.5000 0.5000 0.5000  4 Cr 2.39, 2 Rh 2.41
Rh 0.5000 0.5000 0.0000  2 Pt 2.41

Entry 8:
DFT (SCAN) results for Cr2CdTc at its PBEsol-relaxed geometry.

Computed properties:
Calculated total energy   -25.163 eV/atom
Total magnetic moment   0.001 μB per atom
V   56.0 Å³/cell
SG   Cmmm
Calculated formation energy   0.40 eV per atom
Fermi-level density of states   3.39 states/eV/cell

abc: 2.6308 2.6308 8.6348
angles: 90.00 90.00 110.40
Last column: nearest neighbours and their distance in Å.
Atoms (fractional coordinates):
Cr 0.0000 0.0000 0.2259  2 Tc 2.46, 4 Cr 2.63
Cr 0.0000 0.0000 0.7741  2 Tc 2.46, 4 Cr 2.63
Cd 0.5000 0.5000 0.5000  4 Cd 2.63, 4 Cr 2.80
Tc 0.5000 0.5000 0.0000  4 Cr 2.46, 4 Tc 2.63

Entry 9:
DFT (SCAN) results for TaTlCl2 at its PBEsol-relaxed geometry.

Computed properties:
Calculated total energy   -39.305 eV/atom
Formation energy (no corrections)   -13.4 kcal/mol of atoms
Total magnetic moment   0.000 μB per atom
V   90.3 Å³/cell
SG   R-3m
Fermi-level density of states   2.03 states/eV/cell
Distance to the lowest polymorph of the same formula   0.0000 eV/atom

abc: 10.7940 10.7940 10.7940
angles: 16.68 16.68 16.68
Last column: nearest neighbours and their distance in Å.
Atoms (fractional coordinates):
Ta 0.0000 0.0000 0.0000  6 Cl 2.53
Tl 0.5000 0.5000 0.5000  6 Tl 3.13
Cl 0.2781 0.2781 0.2781  3 Ta 2.53
Cl 0.7219 0.7219 0.7219  3 Ta 2.53

Entry 10:
DFT (SCAN) results for MnFe2Pb at its PBEsol-relaxed geometry.

Computed properties:
Calculated total energy   -32.268 eV/atom
Total magnetic moment   2.124 μB per atom
V   56.7 Å³/cell
SG   Immm
Calculated formation energy   0.31 eV per atom
Fermi-level density of states   2.60 states/eV/cell

abc: 4.8732 4.8732 4.8732
angles: 139.98 129.32 66.45
Last column: nearest neighbours and their distance in Å.
Atoms (fractional coordinates):
Mn 0.0000 0.0000 0.0000  4 Fe 2.56, 4 Pb 2.67
Fe 0.2385 0.7385 0.5000  2 Mn 2.56, 4 Fe 2.68, 4 Pb 2.71-2.85
Fe 0.7615 0.2615 0.5000  2 Mn 2.56, 4 Fe 2.68, 4 Pb 2.71-2.85
Pb 0.5000 0.5000 0.0000  4 Mn 2.67, 8 Fe 2.71-2.85

Entry 11:
DFT (SCAN) results for La5Ru at its PBEsol-relaxed geometry.

Computed properties:
Calculated total energy   -41.841 eV/atom
Total magnetic moment   0.000 μB per atom
V   179.2 Å³/cell
SG   C2/m
Calculated formation energy   -0.12 eV per atom
Fermi-level density of states   5.52 states/eV/cell
Distance to the lowest polymorph of the same formula   0.0000 eV/atom

abc: 6.3188 6.3188 8.1560
angles: 106.09 106.09 35.12
Last column: nearest neighbours and their distance in Å.
Atoms (fractional coordinates):
La 0.0000 0.0000 0.0000  12 La 3.49-3.81
La 0.3205 0.3205 0.1759  11 La 3.45-3.83, 2 Ru 3.46
La 0.3793 0.3793 0.6164  2 Ru 2.73
La 0.6207 0.6207 0.3836  2 Ru 2.73
La 0.6795 0.6795 0.8241  11 La 3.45-3.83, 2 Ru 3.46
Ru 0.0000 0.0000 0.5000  4 La 2.73

Entry 12:
DFT (SCAN) results for Sc2PbBr at its PBEsol-relaxed geometry.

Computed properties:
Calculated total energy   -31.702 eV/atom
Formation energy (no corrections)   -17.8 kcal/mol of atoms
Total magnetic moment   0.000 μB per atom
V   94.8 Å³/cell
SG   R-3m
Fermi-level density of states   2.17 states/eV/cell
Distance to the lowest polymorph of the same formula   0.0000 eV/atom

abc: 6.7841 6.7841 6.7841
angles: 35.64 35.64 35.64
Last column: nearest neighbours and their distance in Å.
Atoms (fractional coordinates):
Sc 0.2491 0.2491 0.2491  3 Pb 2.87, 3 Br 2.88
Sc 0.7509 0.7509 0.7509  3 Pb 2.87, 3 Br 2.88
Pb 0.5000 0.5000 0.5000  6 Sc 2.87
Br 0.0000 0.0000 0.0000  6 Sc 2.88

What is the formula in the tenth record?
MnFe2Pb

What did the seventh record say?
DFT (SCAN) results for LiCr2PtRh at its PBEsol-relaxed geometry.

Computed properties:
Calculated total energy   -27.850 eV/atom
Total magnetic moment   1.413 μB per atom
V   110.1 Å³/cell
SG   P4/mmm
Calculated formation energy   0.78 eV per atom
Fermi-level density of states   5.77 states/eV/cell

abc: 4.7746 4.7746 4.8293
angles: 90.00 90.00 90.00
Last column: nearest neighbours and their distance in Å.
Atoms (fractional coordinates):
Li 0.0000 0.0000 0.0000  4 Rh 3.38, 8 Cr 3.40
Cr 0.0000 0.5000 0.5000  2 Pt 2.39
Cr 0.5000 0.0000 0.5000  2 Pt 2.39
Pt 0.5000 0.5000 0.5000  4 Cr 2.39, 2 Rh 2.41
Rh 0.5000 0.5000 0.0000  2 Pt 2.41

What is the formula in the third record?
ErAgSn